# 1
Material: KO2
Method: DFT, SCAN
State: PBEsol geometry

Formation energy without anion corrections = -915.6 meV/atom
Volume = 18.6 A^3/atom
Energy above the lowest structure with this stoichiometry = 45 meV per atom

Cell lengths 3.9997, 5.1395, 6.2289 Å; angles 81.09, 71.27, 67.10 degrees
Site moments in Bohr magnetons follow the coordinates.
Element x y z (fractional)
O 0.4092 0.9493 0.9525  0.42
O 0.5908 0.0507 0.0475  0.42
O 0.3110 0.5507 0.5475  0.42
O 0.6890 0.4493 0.4525  0.42
K 0.0000 0.5000 0.0000  0.00
K 0.5000 0.0000 0.5000  0.00

# 2
Material: KO2
Method: DFT, SCAN
State: PBEsol geometry

Formation energy without anion corrections = -864.7 meV/atom
Volume = 18.9 A^3/atom
Energy above the lowest structure with this stoichiometry = 96 meV per atom

Cell lengths 6.0949, 6.0949, 6.0949 Å; angles 90.00, 90.00, 90.00 degrees
Site moments in Bohr magnetons follow the coordinates.
Element x y z (fractional)
K 0.0000 0.0000 0.0000  0.01
K 0.0000 0.5000 0.5000  0.01
K 0.5000 0.5000 0.0000  0.01
K 0.5000 0.0000 0.5000  0.01
O 0.5637 0.9363 0.0637  0.42
O 0.9363 0.0637 0.5637  0.42
O 0.4363 0.0637 0.9363  0.42
O 0.0637 0.9363 0.4363  0.42
O 0.0637 0.5637 0.9363  0.42
O 0.5637 0.5637 0.5637  0.42
O 0.4363 0.4363 0.4363  0.42
O 0.9363 0.4363 0.0637  0.42

# 3
Material: KOsO2
Method: DFT, SCAN
State: PBEsol geometry

Formation energy without anion corrections = -651.5 meV/atom
Volume = 16.7 A^3/atom

Cell lengths 4.9001, 4.9001, 6.5597 Å; angles 111.93, 111.93, 90.00 degrees
Element x y z (fractional)
O 0.6250 0.7662 0.7500
O 0.1250 0.9838 0.7500
O 0.2338 0.8750 0.2500
O 0.0162 0.3750 0.2500
K 0.5000 0.5000 0.0000
K 0.7500 0.2500 0.5000
Os 0.2500 0.7500 0.5000
Os 0.0000 0.0000 0.0000

# 4
Material: K2OsO5
Method: DFT, SCAN
State: PBEsol geometry

Formation energy without anion corrections = -1432.9 meV/atom
Volume = 16.9 A^3/atom

Cell lengths 8.1961, 10.7021, 10.7021 Å; angles 120.00, 90.00, 90.00 degrees
Element x y z (fractional)
O 0.3128 0.9636 0.5318
O 0.3128 0.5683 0.0364
O 0.5000 0.7776 0.5352
O 0.6872 0.9636 0.5318
O 0.6872 0.5683 0.0364
O 0.5000 0.7576 0.2224
O 0.0000 0.4622 0.1385
O 0.0000 0.6763 0.5378
O 0.0000 0.8889 0.7981
O 0.5000 0.9903 0.7955
O 0.0000 0.3633 0.8617
O 0.6872 0.4682 0.4317
O 0.0000 0.8615 0.3237
O 0.0000 0.4984 0.6367
O 0.0000 0.1383 0.5016
O 0.3128 0.4682 0.4317
O 0.5000 0.1681 0.6964
O 0.0000 0.2019 0.0908
O 0.1872 0.0985 0.2971
O 0.1872 0.7029 0.8014
O 0.5000 0.3036 0.4717
O 0.5000 0.2045 0.1948
O 0.1872 0.1986 0.9015
O 0.5000 0.4648 0.2424
O 0.8128 0.1986 0.9015
O 0.8128 0.0985 0.2971
O 0.5000 0.8052 0.0097
O 0.8128 0.7029 0.8014
O 0.5000 0.5283 0.8319
O 0.0000 0.9092 0.1111
K 0.2358 0.0000 0.0000
K 0.0000 0.9818 0.6208
K 0.7642 0.0000 0.0000
K 0.5000 0.0279 0.3153
K 0.7500 0.3333 0.6667
K 0.0000 0.3792 0.3610
K 0.5000 0.2874 0.9721
K 0.2642 0.6667 0.3333
K 0.2500 0.3333 0.6667
K 0.0000 0.6390 0.0182
K 0.7358 0.6667 0.3333
K 0.5000 0.6847 0.7126
Os 0.0000 0.6930 0.7125
Os 0.0000 0.2875 0.9805
Os 0.0000 0.0195 0.3070
Os 0.5000 0.6473 0.0265
Os 0.5000 0.9735 0.6208
Os 0.5000 0.3792 0.3527

- The lowest formation energy without anion corrections belongs to which entry?
  K2OsO5

Copy entry 3 word for word.
Material: KOsO2
Method: DFT, SCAN
State: PBEsol geometry

Formation energy without anion corrections = -651.5 meV/atom
Volume = 16.7 A^3/atom

Cell lengths 4.9001, 4.9001, 6.5597 Å; angles 111.93, 111.93, 90.00 degrees
Element x y z (fractional)
O 0.6250 0.7662 0.7500
O 0.1250 0.9838 0.7500
O 0.2338 0.8750 0.2500
O 0.0162 0.3750 0.2500
K 0.5000 0.5000 0.0000
K 0.7500 0.2500 0.5000
Os 0.2500 0.7500 0.5000
Os 0.0000 0.0000 0.0000